Li5Co3Sb2O10: optimized geometry, PBE+U.

Summary:
- E (eV/atom) = -5.6733
- crystal system = triclinic
- magnetic moment (μB/f.u.) = 8.0

Cell and atoms, written as CIF:
```
data_Li5Co3Sb2O10
_symmetry_space_group_name_H-M 'P 1'
_symmetry_Int_Tables_number 1
_symmetry_space_group_name_Hall 'P 1'
_cell_length_a 5.2510
_cell_length_b 5.3049
_cell_length_c 8.0891
_cell_angle_alpha 103.68
_cell_angle_beta 107.93
_cell_angle_gamma 99.50
loop_
_atom_site_label
_atom_site_fract_x
_atom_site_fract_y
_atom_site_fract_z
_atom_site_occupancy
Li1 0.0000 0.0000 0.0000 1
Li2 0.1942 0.0665 0.6896 1
Li3 0.3959 0.7288 0.8939 1
Li4 0.5992 0.2626 0.1056 1
Li5 0.7941 0.9013 0.3065 1
Co1 0.0155 0.4709 0.4963 1
Co2 0.3733 0.2050 0.3975 1
Co3 0.6039 0.7914 0.5986 1
Sb1 0.2061 0.6068 0.1981 1
Sb2 0.7932 0.3906 0.7964 1
O1 0.0073 0.2792 0.2390 1
O2 0.1746 0.3584 0.9505 1
O3 0.1918 0.8318 0.4319 1
O4 0.3923 0.9297 0.1543 1
O5 0.4334 0.4621 0.6664 1
O6 0.5702 0.5497 0.3351 1
O7 0.5994 0.0670 0.8372 1
O8 0.8052 0.1484 0.5681 1
O9 0.8239 0.6403 0.0423 1
O10 0.9836 0.7085 0.7420 1
```